Record 1
Here is a relaxed structure of Nd4NiBi2 from Alexandria via LeMat-Bulk. Energies are from PBE.

Results
formation energy = -0.526 eV/atom

```
data_Nd4NiBi2
_cell_length_a 7.139
_cell_length_b 6.622
_cell_length_c 9.571
_cell_angle_alpha 90.00
_cell_angle_beta 108.82
_cell_angle_gamma 90.00
_symmetry_space_group_name_H-M 'P 1 21/m 1'
_symmetry_Int_Tables_number 11
loop_
_symmetry_equiv_pos_as_xyz
'x,y,z'
'-x,-y,-z'
'-x,y+1/2,-z'
'x,-y+1/2,z'
loop_
_atom_site_label
_atom_site_type_symbol
_atom_site_fract_x
_atom_site_fract_y
_atom_site_fract_z
Nd1 Nd 0.017 0.006 0.273
Nd2 Nd 0.382 0.750 0.078
Nd3 Nd 0.438 0.750 0.628
Ni1 Ni 0.331 0.750 0.334
Bi1 Bi 0.218 0.250 0.042
Bi2 Bi 0.271 0.250 0.581
```

***

Record 2
Here is a relaxed structure of TiNb3Sb from Alexandria via LeMat-Bulk. Energies are from PBE.

Results
formation energy without anion corrections = 1.45 eV per atom

```
data_TiNb3Sb
_cell_length_a 4.998
_cell_length_b 4.998
_cell_length_c 4.998
_cell_angle_alpha 90.00
_cell_angle_beta 90.00
_cell_angle_gamma 90.00
_symmetry_space_group_name_H-M 'P m -3 m'
_symmetry_Int_Tables_number 221
_symmetry_space_group_name_Hall '-P 4 2 3'
loop_
_atom_site_label
_atom_site_type_symbol
_atom_site_fract_x
_atom_site_fract_y
_atom_site_fract_z
Ti1 Ti 0.000 0.000 0.000
Nb1 Nb 0.000 0.500 0.500
Sb1 Sb 0.500 0.500 0.500
```

***

What did we get for E? Answer: -5.1849; -6.9970 eV per atom, in the order shown.
What did we get for polymorph energy (0 for the lowest one)? Answer: 8; 1615 meV/atom, in the order shown.